<A>
A geometry-optimized NaTiGa structure. Source: Alexandria via LeMat-Bulk, functional GGA-PBE.

The value obtained for the total magnetization is 0.00 μB/f.u. The value obtained for the density is 3.50 g/cm3.

Cell and atoms, written as CIF:
```
data_NaTiGa
_symmetry_space_group_name_H-M 'F -4 3 m'
_symmetry_Int_Tables_number 216
_symmetry_space_group_name_Hall 'F -4 2 3'
_cell_length_a 6.436
_cell_length_b 6.436
_cell_length_c 6.436
_cell_angle_alpha 90.00
_cell_angle_beta 90.00
_cell_angle_gamma 90.00
loop_
_atom_site_label
_atom_site_fract_x
_atom_site_fract_y
_atom_site_fract_z
Na1 0.000 0.000 0.000
Ti1 0.000 0.000 0.500
Ga1 0.250 0.250 0.250
```

=====

<B>
A geometry-optimized NaTiGa structure. Source: Alexandria via LeMat-Bulk, functional GGA-PBE.

The value obtained for the total magnetization is 0.00 μB/f.u. The value obtained for the density is 3.89 g/cm3.

Cell and atoms, written as CIF:
```
data_NaTiGa
_symmetry_space_group_name_H-M 'I 4 m m'
_symmetry_Int_Tables_number 107
_symmetry_space_group_name_Hall 'I 4 -2'
_cell_length_a 2.937
_cell_length_b 2.937
_cell_length_c 13.925
_cell_angle_alpha 90.00
_cell_angle_beta 90.00
_cell_angle_gamma 90.00
loop_
_atom_site_label
_atom_site_fract_x
_atom_site_fract_y
_atom_site_fract_z
Na1 0.000 0.000 0.000
Ti1 0.000 0.000 0.701
Ga1 0.000 0.000 0.326
```

=====

<C>
A geometry-optimized NaTiGa structure. Source: Alexandria via LeMat-Bulk, functional GGA-PBE.

The value obtained for the total magnetization is 2.34 μB/f.u. The value obtained for the density is 2.34 g/cm3.

Cell and atoms, written as CIF:
```
data_NaTiGa
_symmetry_space_group_name_H-M 'P 63/m m c'
_symmetry_Int_Tables_number 194
_symmetry_space_group_name_Hall '-P 6c 2c'
_cell_length_a 4.7130
_cell_length_b 4.7130
_cell_length_c 10.3842
_cell_angle_alpha 90.00
_cell_angle_beta 90.00
_cell_angle_gamma 120.00
loop_
_atom_site_label
_atom_site_fract_x
_atom_site_fract_y
_atom_site_fract_z
Na1 0.3333 0.6667 0.2500
Ti1 0.0000 0.0000 0.0000
Ga1 0.0000 0.0000 0.2500
```

=====

Least stable: <C>

=====

<A>
A geometry-optimized NaTi3Ga structure. Source: Alexandria via LeMat-Bulk, functional GGA-PBE.

The value obtained for the total magnetization is 4.01 μB/f.u. The value obtained for the density is 3.32 g/cm3.

Cell and atoms, written as CIF:
```
data_NaTi3Ga
_symmetry_space_group_name_H-M 'P m -3 m'
_symmetry_Int_Tables_number 221
_symmetry_space_group_name_Hall '-P 4 2 3'
_cell_length_a 4.906
_cell_length_b 4.906
_cell_length_c 4.906
_cell_angle_alpha 90.00
_cell_angle_beta 90.00
_cell_angle_gamma 90.00
loop_
_atom_site_label
_atom_site_fract_x
_atom_site_fract_y
_atom_site_fract_z
Na1 0.000 0.000 0.000
Ti1 0.000 0.500 0.500
Ga1 0.500 0.500 0.500
```

=====

<B>
A geometry-optimized NaTi3Ga structure. Source: Alexandria via LeMat-Bulk, functional GGA-PBE.

The value obtained for the total magnetization is 0.00 μB/f.u. The value obtained for the density is 3.89 g/cm3.

Cell and atoms, written as CIF:
```
data_NaTi3Ga
_symmetry_space_group_name_H-M 'P m -3 m'
_symmetry_Int_Tables_number 221
_symmetry_space_group_name_Hall '-P 4 2 3'
_cell_length_a 4.657
_cell_length_b 4.657
_cell_length_c 4.657
_cell_angle_alpha 90.00
_cell_angle_beta 90.00
_cell_angle_gamma 90.00
loop_
_atom_site_label
_atom_site_fract_x
_atom_site_fract_y
_atom_site_fract_z
Na1 0.000 0.000 0.000
Ti1 0.000 0.000 0.500
Ga1 0.500 0.500 0.500
```

=====

Least stable: <B>

=====

<A>
A geometry-optimized Na6Tl12Ga structure. Source: Alexandria via LeMat-Bulk, functional GGA-PBE.

The value obtained for the total magnetization is 0.00 μB/f.u. The value obtained for the density is 8.00 g/cm3.

Cell and atoms, written as CIF:
```
data_Na6Tl12Ga
_symmetry_space_group_name_H-M 'R -3'
_symmetry_Int_Tables_number 148
_symmetry_space_group_name_Hall '-R 3'
_cell_length_a 11.8237
_cell_length_b 11.8237
_cell_length_c 13.6895
_cell_angle_alpha 90.00
_cell_angle_beta 90.00
_cell_angle_gamma 120.00
loop_
_atom_site_label
_atom_site_fract_x
_atom_site_fract_y
_atom_site_fract_z
Na1 0.0277 0.4315 0.2106
Tl1 0.0379 0.1827 0.3182
Tl2 0.0595 0.8611 0.9059
Ga1 0.0000 0.0000 0.5000
```

=====

<B>
A geometry-optimized Na6Tl12Ga structure. Source: Alexandria via LeMat-Bulk, functional GGA-PBE.

The value obtained for the total magnetization is 0.00 μB/f.u. The value obtained for the density is 7.75 g/cm3.

Cell and atoms, written as CIF:
```
data_Na6Tl12Ga
_symmetry_space_group_name_H-M 'R -3'
_symmetry_Int_Tables_number 148
_symmetry_space_group_name_Hall '-R 3'
_cell_length_a 14.2342
_cell_length_b 14.2342
_cell_length_c 9.7449
_cell_angle_alpha 90.00
_cell_angle_beta 90.00
_cell_angle_gamma 120.00
loop_
_atom_site_label
_atom_site_fract_x
_atom_site_fract_y
_atom_site_fract_z
Na1 0.0085 0.2459 0.0630
Tl1 0.0306 0.1524 0.7628
Tl2 0.0755 0.4884 0.1176
Ga1 0.0000 0.0000 0.5000
```

=====

Least stable: <B>

=====

<A>
A geometry-optimized NaTlGa structure. Source: Alexandria via LeMat-Bulk, functional GGA-PBE.

The value obtained for the total magnetization is 0.00 μB/f.u. The value obtained for the density is 6.29 g/cm3.

Cell and atoms, written as CIF:
```
data_NaTlGa
_symmetry_space_group_name_H-M 'I m a 2'
_symmetry_Int_Tables_number 46
_cell_length_a 4.650
_cell_length_b 8.702
_cell_length_c 7.749
_cell_angle_alpha 90.00
_cell_angle_beta 90.00
_cell_angle_gamma 90.00
loop_
_symmetry_equiv_pos_as_xyz
'x,y,z'
'-x,-y,z'
'-x+1/2,y,z'
'x+1/2,-y,z'
'x+1/2,y+1/2,z+1/2'
'-x+1/2,-y+1/2,z+1/2'
'-x,y+1/2,z+1/2'
'x,-y+1/2,z+1/2'
loop_
_atom_site_label
_atom_site_fract_x
_atom_site_fract_y
_atom_site_fract_z
Na1 0.250 0.183 0.000
Tl1 0.250 0.617 0.196
Ga1 0.250 0.568 0.817
```

=====

<B>
A geometry-optimized NaTlGa structure. Source: Alexandria via LeMat-Bulk, functional GGA-PBE.

The value obtained for the total magnetization is 0.00 μB/f.u. The value obtained for the density is 6.59 g/cm3.

Cell and atoms, written as CIF:
```
data_NaTlGa
_symmetry_space_group_name_H-M 'P 1 m 1'
_symmetry_Int_Tables_number 6
_cell_length_a 4.771
_cell_length_b 4.926
_cell_length_c 6.796
_cell_angle_alpha 90.00
_cell_angle_beta 110.42
_cell_angle_gamma 90.00
loop_
_symmetry_equiv_pos_as_xyz
'x,y,z'
'x,-y,z'
loop_
_atom_site_label
_atom_site_fract_x
_atom_site_fract_y
_atom_site_fract_z
Na1 0.000 0.000 0.000
Na2 0.170 0.500 0.340
Tl1 0.502 0.500 0.003
Tl2 0.833 0.500 0.668
Ga1 0.315 0.000 0.630
Ga2 0.692 0.000 0.387
```

=====

Least stable: <B>

=====

<A>
A geometry-optimized NaTlGa structure. Source: Alexandria via LeMat-Bulk, functional GGA-PBE.

The value obtained for the total magnetization is 0.00 μB/f.u. The value obtained for the density is 6.34 g/cm3.

Cell and atoms, written as CIF:
```
data_NaTlGa
_symmetry_space_group_name_H-M 'C 1 m 1'
_symmetry_Int_Tables_number 8
_cell_length_a 12.136
_cell_length_b 3.556
_cell_length_c 7.867
_cell_angle_alpha 90.00
_cell_angle_beta 113.62
_cell_angle_gamma 90.00
loop_
_symmetry_equiv_pos_as_xyz
'x,y,z'
'x,-y,z'
'x+1/2,y+1/2,z'
'x+1/2,-y+1/2,z'
loop_
_atom_site_label
_atom_site_fract_x
_atom_site_fract_y
_atom_site_fract_z
Na1 0.000 0.000 0.000
Na2 0.192 0.500 0.808
Tl1 0.036 0.000 0.434
Tl2 0.362 0.000 0.615
Ga1 0.210 0.500 0.284
Ga2 0.333 0.000 0.162
```

=====

<B>
A geometry-optimized NaTlGa structure. Source: Alexandria via LeMat-Bulk, functional GGA-PBE.

The value obtained for the total magnetization is 0.00 μB/f.u. The value obtained for the density is 6.04 g/cm3.

Cell and atoms, written as CIF:
```
data_NaTlGa
_symmetry_space_group_name_H-M 'F -4 3 m'
_symmetry_Int_Tables_number 216
_symmetry_space_group_name_Hall 'F -4 2 3'
_cell_length_a 6.889
_cell_length_b 6.889
_cell_length_c 6.889
_cell_angle_alpha 90.00
_cell_angle_beta 90.00
_cell_angle_gamma 90.00
loop_
_atom_site_label
_atom_site_fract_x
_atom_site_fract_y
_atom_site_fract_z
Na1 0.000 0.000 0.000
Tl1 0.000 0.000 0.500
Ga1 0.250 0.250 0.750
```

=====

Least stable: <B>